[1]
An optimized crystal structure of Ce2In2Hg4Pb3. Source: the Alexandria database, functional GGA-PBE.

Geometry as CIF:
```
data_Ce2In2Hg4Pb3
_chemical_formula_sum 'Ce2 In2 Hg4 Pb3'
_cell_length_a 5.3323
_cell_length_b 5.3323
_cell_length_c 12.8755
_cell_angle_alpha 90.00
_cell_angle_beta 90.00
_cell_angle_gamma 120.00
_symmetry_space_group_name_H-M 'P -3 m 1'
_symmetry_Int_Tables_number 164
_symmetry_space_group_name_Hall '-P 3 2"'
loop_
_atom_site_label
_atom_site_type_symbol
_atom_site_fract_x
_atom_site_fract_y
_atom_site_fract_z
_atom_site_occupancy
Ce1 Ce 0.3333 0.6667 0.1641 1
In1 In 0.3333 0.6667 0.6479 1
Hg1 Hg 0.3333 0.6667 0.4203 1
Hg2 Hg 0.3333 0.6667 0.9059 1
Pb1 Pb 0.0000 0.0000 0.0000 1
Pb2 Pb 0.0000 0.0000 0.2691 1
```

[2]
An optimized crystal structure of CeInHgPd. Source: the Alexandria database, functional GGA-PBE.

Geometry as CIF:
```
data_CeInHgPd
_chemical_formula_sum 'Ce4 In4 Hg4 Pd4'
_cell_length_a 7.134
_cell_length_b 7.134
_cell_length_c 7.134
_cell_angle_alpha 90.00
_cell_angle_beta 90.00
_cell_angle_gamma 90.00
_symmetry_space_group_name_H-M 'F -4 3 m'
_symmetry_Int_Tables_number 216
_symmetry_space_group_name_Hall 'F -4 2 3'
loop_
_atom_site_label
_atom_site_type_symbol
_atom_site_fract_x
_atom_site_fract_y
_atom_site_fract_z
_atom_site_occupancy
Ce1 Ce 0.000 0.000 0.000 1
In1 In 0.000 0.000 0.500 1
Hg1 Hg 0.250 0.250 0.250 1
Pd1 Pd 0.250 0.250 0.750 1
```

[3]
An optimized crystal structure of Ce2PmIn2Hg2. Source: the Alexandria database, functional GGA-PBE.

Geometry as CIF:
```
data_Ce2PmIn2Hg2
_chemical_formula_sum 'Ce6 Pm3 In6 Hg6'
_cell_length_a 4.8237
_cell_length_b 4.8237
_cell_length_c 27.8091
_cell_angle_alpha 90.00
_cell_angle_beta 90.00
_cell_angle_gamma 120.00
_symmetry_space_group_name_H-M 'R -3 m'
_symmetry_Int_Tables_number 166
_symmetry_space_group_name_Hall '-R 3 2"'
loop_
_atom_site_label
_atom_site_type_symbol
_atom_site_fract_x
_atom_site_fract_y
_atom_site_fract_z
_atom_site_occupancy
Ce1 Ce 0.0000 0.0000 0.1435 1
Pm1 Pm 0.0000 0.0000 0.0000 1
In1 In 0.0000 0.0000 0.2701 1
Hg1 Hg 0.0000 0.0000 0.4230 1
```

[4]
An optimized crystal structure of CePm2In2Hg2. Source: the Alexandria database, functional GGA-PBE.

Geometry as CIF:
```
data_CePm2In2Hg2
_chemical_formula_sum 'Ce3 Pm6 In6 Hg6'
_cell_length_a 4.9615
_cell_length_b 4.9615
_cell_length_c 28.2327
_cell_angle_alpha 90.00
_cell_angle_beta 90.00
_cell_angle_gamma 120.00
_symmetry_space_group_name_H-M 'R -3 m'
_symmetry_Int_Tables_number 166
_symmetry_space_group_name_Hall '-R 3 2"'
loop_
_atom_site_label
_atom_site_type_symbol
_atom_site_fract_x
_atom_site_fract_y
_atom_site_fract_z
_atom_site_occupancy
Ce1 Ce 0.0000 0.0000 0.0000 1
Pm1 Pm 0.0000 0.0000 0.1278 1
In1 In 0.0000 0.0000 0.2570 1
Hg1 Hg 0.0000 0.0000 0.3912 1
```

[5]
An optimized crystal structure of CePmInHg. Source: the Alexandria database, functional GGA-PBE.

Geometry as CIF:
```
data_CePmInHg
_chemical_formula_sum 'Ce4 Pm4 In4 Hg4'
_cell_length_a 7.703
_cell_length_b 7.703
_cell_length_c 7.703
_cell_angle_alpha 90.00
_cell_angle_beta 90.00
_cell_angle_gamma 90.00
_symmetry_space_group_name_H-M 'F -4 3 m'
_symmetry_Int_Tables_number 216
_symmetry_space_group_name_Hall 'F -4 2 3'
loop_
_atom_site_label
_atom_site_type_symbol
_atom_site_fract_x
_atom_site_fract_y
_atom_site_fract_z
_atom_site_occupancy
Ce1 Ce 0.000 0.000 0.000 1
Pm1 Pm 0.000 0.000 0.500 1
In1 In 0.250 0.250 0.250 1
Hg1 Hg 0.250 0.250 0.750 1
```

[6]
An optimized crystal structure of CePrInHg. Source: the Alexandria database, functional GGA-PBE.

Geometry as CIF:
```
data_CePrInHg
_chemical_formula_sum 'Ce4 Pr4 In4 Hg4'
_cell_length_a 7.759
_cell_length_b 7.759
_cell_length_c 7.759
_cell_angle_alpha 90.00
_cell_angle_beta 90.00
_cell_angle_gamma 90.00
_symmetry_space_group_name_H-M 'F -4 3 m'
_symmetry_Int_Tables_number 216
_symmetry_space_group_name_Hall 'F -4 2 3'
loop_
_atom_site_label
_atom_site_type_symbol
_atom_site_fract_x
_atom_site_fract_y
_atom_site_fract_z
_atom_site_occupancy
Ce1 Ce 0.000 0.000 0.000 1
Pr1 Pr 0.000 0.000 0.500 1
In1 In 0.250 0.250 0.250 1
Hg1 Hg 0.250 0.250 0.750 1
```

Number 1: E_tot -31.57 eV per formula unit. Number 2: E_tot -16.14 eV per formula unit. Number 3: E_tot -24.51 eV per formula unit. Number 4: E_tot -23.47 eV per formula unit. Number 5: E_tot -15.24 eV per formula unit. Number 6: E_tot -15.25 eV per formula unit.